Record 1
Material: NbGa2Ag
Method: DFT, GGA-PBE
State: optimized geometry

Structure (CIF):
```
data_NbGa2Ag
_chemical_formula_sum 'Nb1 Ga2 Ag1'
_space_group_name_H-M_alt 'P 1'
_space_group_IT_number 1
_cell_length_a 2.866
_cell_length_b 2.866
_cell_length_c 8.265
_cell_angle_alpha 90.00
_cell_angle_beta 90.00
_cell_angle_gamma 90.00
loop_
_space_group_symop_operation_xyz
'x,y,z'
loop_
_atom_site_label
_atom_site_type_symbol
_atom_site_fract_x
_atom_site_fract_y
_atom_site_fract_z
Nb1 Nb 0.000 0.000 0.000
Ga1 Ga 0.500 0.500 0.245
Ga2 Ga 0.500 0.500 0.755
Ag1 Ag 0.000 0.000 0.500
```

Summary:
**Distance to the lowest polymorph of the same formula**: 0.26 eV per formula unit
**Calculated formation energy**: -0.102 eV/atom
**SG**: P4/mmm, No. 123
**Electronic total energy**: -19.385 eV/cell

---

Record 2
Material: Nb2Ga2Ag
Method: DFT, GGA-PBE
State: optimized geometry

Structure (CIF):
```
data_Nb2Ga2Ag
_chemical_formula_sum 'Nb4 Ga4 Ag2'
_space_group_name_H-M_alt 'P 1'
_space_group_IT_number 1
_cell_length_a 6.769
_cell_length_b 6.769
_cell_length_c 3.716
_cell_angle_alpha 90.00
_cell_angle_beta 90.00
_cell_angle_gamma 90.00
loop_
_space_group_symop_operation_xyz
'x,y,z'
loop_
_atom_site_label
_atom_site_type_symbol
_atom_site_fract_x
_atom_site_fract_y
_atom_site_fract_z
Nb1 Nb 0.175 0.325 0.000
Nb2 Nb 0.325 0.825 0.000
Nb3 Nb 0.675 0.175 0.000
Nb4 Nb 0.825 0.675 0.000
Ga1 Ga 0.128 0.628 0.500
Ga2 Ga 0.372 0.128 0.500
Ga3 Ga 0.628 0.872 0.500
Ga4 Ga 0.872 0.372 0.500
Ag1 Ag 0.000 0.000 0.500
Ag2 Ag 0.500 0.500 0.500
```

Summary:
**Distance to the lowest polymorph of the same formula**: 0.00 eV per formula unit
**Calculated formation energy**: -0.087 eV/atom
**SG**: P4/mbm, No. 127
**Electronic total energy**: -58.955 eV/cell